# Li3Ac2Ga4

A relaxed structure of Li3Ac2Ga4 (PBE-GGA, the Alexandria database).

Cell: 6.170 7.937 8.918 Å, 90.00 110.24 90.00°
Sites, in units of the cell vectors:
1 Li 0.000 0.000 0.000
2 Li 0.500 0.500 0.000
3 Li 0.521 0.750 0.543
4 Li 0.979 0.250 0.457
5 Li 0.479 0.250 0.457
6 Li 0.021 0.750 0.543
7 Ac 0.107 0.600 0.214
8 Ac 0.893 0.400 0.786
9 Ac 0.393 0.100 0.786
10 Ac 0.607 0.900 0.214
11 Ga 0.682 0.750 0.864
12 Ga 0.818 0.250 0.136
13 Ga 0.318 0.250 0.136
14 Ga 0.182 0.750 0.864
15 Ga 0.162 0.013 0.323
16 Ga 0.838 0.987 0.677
17 Ga 0.338 0.513 0.677
18 Ga 0.662 0.487 0.323

final energy: -3.24 eV/atom
crystal system: orthorhombic
DOS(E_F): 0.453 states/eV per atom
formation energy from the elements: -343 meV/atom

***

# Nb2Ni2Pt7

A relaxed structure of Nb2Ni2Pt7 (PBE-GGA, the Alexandria database).

Cell: 5.968 5.466 5.968 Å, 90.01 96.53 89.99°
Sites, in units of the cell vectors:
1 Nb 0.810 0.500 0.810
2 Nb 0.190 0.500 0.190
3 Ni 0.729 0.000 0.271
4 Ni 0.271 0.000 0.729
5 Pt 0.000 0.251 0.500
6 Pt 0.500 0.749 0.000
7 Pt 0.000 0.749 0.500
8 Pt 0.500 0.251 0.000
9 Pt 0.000 0.000 0.000
10 Pt 0.500 0.742 0.500
11 Pt 0.500 0.258 0.500

final energy: -6.64 eV/atom
crystal system: orthorhombic
DOS(E_F): 1.082 states/eV per atom
formation energy from the elements: 85 meV/atom

***

# LiYBe2

A relaxed structure of LiYBe2 (PBE-GGA, the Alexandria database).

Cell: 3.114 3.174 7.191 Å, 63.90 90.00 90.00°
Sites, in units of the cell vectors:
1 Be 0.000 0.941 0.060
2 Be 0.000 0.559 0.440
3 Li 0.500 0.250 0.250
4 Y 0.500 0.750 0.750

final energy: -3.66 eV/atom
relative energy among the computed polymorphs: 0.61 eV/f.u.
crystal system: monoclinic
DOS(E_F): 0.586 states/eV per atom
formation energy from the elements: 297 meV/atom

***

# Mn2Se

A relaxed structure of Mn2Se (PBE-GGA, the Alexandria database).

Cell: 5.348 5.348 5.324 Å, 82.70 82.70 36.41°
Sites, in units of the cell vectors:
1 Mn 0.960 0.960 0.027
2 Mn 0.318 0.318 0.418
3 Mn 0.639 0.639 0.722
4 Mn 0.639 0.639 0.222
5 Se 0.006 0.006 0.496
6 Se 0.271 0.271 0.949

final energy: -7.20 eV/atom
crystal system: monoclinic
formation energy from raw total energies: 0.08 eV per atom
DOS(E_F): 0.787 states/eV per atom